(1)
# BaLi4InHg2

Crystalline BaLi4InHg2 at its relaxed geometry (PBE-GGA, Alexandria via LeMat-Bulk).

Properties
energy relative to the elements	-2.209	eV per formula unit

POSCAR file:
```
BaLi4InHg2
1.0
2.368 1.367 9.905
-2.368 1.367 9.905
0.000 -2.735 9.905
Ba Li In Hg
1 4 1 2
Direct
0.000 0.000 0.000
0.135 0.135 0.135
0.411 0.411 0.411
0.589 0.589 0.589
0.865 0.865 0.865
0.500 0.500 0.500
0.242 0.242 0.242
0.758 0.758 0.758
```

---

(2)
# BiPb2Se2

Crystalline BiPb2Se2 at its relaxed geometry (PBE-GGA, Alexandria via LeMat-Bulk).

Properties
polymorph energy (0 for the lowest one)	0	meV per atom

POSCAR file:
```
BiPb2Se2
1.0
8.448 0.000 0.000
0.000 8.448 0.000
0.000 0.000 4.071
Bi Pb Se
2 4 4
Direct
0.000 0.000 0.000
0.500 0.500 0.000
0.160 0.340 0.500
0.340 0.840 0.500
0.660 0.160 0.500
0.840 0.660 0.500
0.154 0.654 0.000
0.346 0.154 0.000
0.654 0.846 0.000
0.846 0.346 0.000
```

---

(3)
# Rb3Ba2IrO6

Crystalline Rb3Ba2IrO6 at its relaxed geometry (PBE-GGA, Alexandria via LeMat-Bulk).

POSCAR file:
```
Rb3Ba2IrO6
1.0
3.234 -5.620 0.000
3.234 5.620 0.000
-2.138 0.000 6.460
Rb Ba Ir O
3 2 1 6
Direct
0.000 0.000 0.000
0.342 0.658 0.000
0.658 0.342 0.000
0.167 0.833 0.500
0.833 0.167 0.500
0.500 0.500 0.500
0.179 0.439 0.318
0.297 0.297 0.682
0.439 0.179 0.318
0.561 0.821 0.682
0.703 0.703 0.318
0.821 0.561 0.682
```

---

(4)
# AcSn12Ru4

Crystalline AcSn12Ru4 at its relaxed geometry (PBE-GGA, Alexandria via LeMat-Bulk).

Properties
energy relative to the elements	-1.052	eV per formula unit

POSCAR file:
```
AcSn12Ru4
1.0
-4.768 4.768 4.768
4.768 -4.768 4.768
4.768 4.768 -4.768
Ac Sn Ru
1 12 4
Direct
0.000 0.000 0.000
0.168 0.336 0.505
0.168 0.664 0.832
0.168 0.832 0.336
0.336 0.168 0.832
0.336 0.505 0.168
0.495 0.832 0.664
0.505 0.168 0.336
0.664 0.495 0.832
0.664 0.832 0.168
0.832 0.168 0.664
0.832 0.336 0.168
0.832 0.664 0.495
0.000 0.000 0.500
0.000 0.500 0.000
0.500 0.000 0.000
0.500 0.500 0.500
```

---

(5)
# HfTeS2Cl

Crystalline HfTeS2Cl at its relaxed geometry (PBE-GGA, Alexandria via LeMat-Bulk).

Properties
polymorph energy (0 for the lowest one)	0	meV per atom

POSCAR file:
```
HfTeS2Cl
1.0
5.009 0.000 0.000
0.000 5.009 0.000
0.000 0.000 4.904
Hf Te S Cl
1 1 2 1
Direct
0.000 0.000 0.000
0.500 0.500 0.500
0.000 0.500 0.000
0.500 0.000 0.000
0.000 0.000 0.500
```

---

(6)
# BaB3P

Crystalline BaB3P at its relaxed geometry (PBE-GGA, Alexandria via LeMat-Bulk).

Properties
polymorph energy (0 for the lowest one)	0	meV per atom
energy relative to the elements	5.837	eV per formula unit

POSCAR file:
```
BaB3P
1.0
4.167 0.000 0.000
0.000 4.167 0.000
0.000 0.000 4.167
Ba B P
1 3 1
Direct
0.000 0.000 0.000
0.000 0.500 0.500
0.500 0.000 0.500
0.500 0.500 0.000
0.500 0.500 0.500
```

---

(7)
# AcSCl

Crystalline AcSCl at its relaxed geometry (PBE-GGA, Alexandria via LeMat-Bulk).

Properties
polymorph energy (0 for the lowest one)	155	meV per atom

POSCAR file:
```
AcSCl
1.0
4.542 0.000 0.000
-2.271 3.934 0.000
0.000 0.000 6.549
Ac S Cl
1 1 1
Direct
0.000 0.000 0.000
0.667 0.333 0.182
0.333 0.667 0.753
```

---

(8)
# RbTi2InO6

Crystalline RbTi2InO6 at its relaxed geometry (PBE-GGA, Alexandria via LeMat-Bulk).

POSCAR file:
```
RbTi2InO6
1.0
4.737 -6.121 0.000
4.737 6.121 0.000
-2.412 0.000 6.010
Rb Ti In O
2 4 2 12
Direct
0.105 0.895 0.750
0.895 0.105 0.250
0.287 0.433 0.841
0.433 0.287 0.341
0.567 0.713 0.659
0.713 0.567 0.159
0.209 0.791 0.250
0.791 0.209 0.750
0.060 0.250 0.725
0.216 0.631 0.956
0.250 0.060 0.225
0.353 0.412 0.564
0.369 0.784 0.544
0.412 0.353 0.064
0.588 0.647 0.936
0.631 0.216 0.456
0.647 0.588 0.436
0.750 0.940 0.775
0.784 0.369 0.044
0.940 0.750 0.275
```

---

(9)
# Sc3MnB

Crystalline Sc3MnB at its relaxed geometry (PBE-GGA, Alexandria via LeMat-Bulk).

Properties
polymorph energy (0 for the lowest one)	0	meV per atom
energy relative to the elements	2.032	eV per formula unit

POSCAR file:
```
Sc3MnB
1.0
4.572 0.000 0.000
0.000 4.572 0.000
0.000 0.000 4.572
Sc Mn B
3 1 1
Direct
0.000 0.000 0.500
0.000 0.500 0.000
0.500 0.000 0.000
0.500 0.500 0.500
0.000 0.000 0.000
```

---

(10)
# Ba2LaMnI

Crystalline Ba2LaMnI at its relaxed geometry (PBE-GGA, Alexandria via LeMat-Bulk).

POSCAR file:
```
Ba2LaMnI
1.0
6.260 0.000 0.000
0.000 6.260 0.000
0.000 0.000 4.870
Ba La Mn I
2 1 1 1
Direct
0.000 0.500 0.000
0.500 0.000 0.000
0.000 0.000 0.500
0.500 0.500 0.000
0.500 0.500 0.500
```

---

(11)
# AlSbSe2

Crystalline AlSbSe2 at its relaxed geometry (PBE-GGA, Alexandria via LeMat-Bulk).

Properties
polymorph energy (0 for the lowest one)	527	meV per atom

POSCAR file:
```
AlSbSe2
1.0
-1.927 1.927 7.295
1.927 -1.927 7.295
1.927 1.927 -7.295
Al Sb Se
1 1 2
Direct
0.000 0.000 0.000
0.250 0.750 0.500
0.500 0.500 0.000
0.750 0.250 0.500
```

---

(12)
# PmNdSiIr

Crystalline PmNdSiIr at its relaxed geometry (PBE-GGA, Alexandria via LeMat-Bulk).

POSCAR file:
```
PmNdSiIr
1.0
4.115 0.000 0.000
0.000 2.159 5.362
0.000 -2.159 5.362
Pm Nd Si Ir
1 1 1 1
Direct
0.000 0.000 0.000
0.500 0.717 0.717
0.000 0.298 0.298
0.500 0.431 0.431
```

---

(13)
# Fe2NiIr3

Crystalline Fe2NiIr3 at its relaxed geometry (PBE-GGA, Alexandria via LeMat-Bulk).

Properties
energy relative to the elements	-0.183	eV per formula unit

POSCAR file:
```
Fe2NiIr3
1.0
1.896 -5.683 0.000
1.896 5.683 0.000
0.000 0.000 7.210
Fe Ni Ir
4 2 6
Direct
0.000 0.000 0.000
0.000 0.000 0.500
0.336 0.664 0.000
0.664 0.336 0.000
0.334 0.666 0.500
0.666 0.334 0.500
0.167 0.833 0.248
0.167 0.833 0.752
0.500 0.500 0.249
0.500 0.500 0.751
0.833 0.167 0.248
0.833 0.167 0.752
```

---

(14)
# BaH3C3O7

Crystalline BaH3C3O7 at its relaxed geometry (PBE-GGA, Alexandria via LeMat-Bulk).

POSCAR file:
```
BaH3C3O7
1.0
5.665 0.000 0.000
0.000 19.946 0.000
-0.726 0.000 6.714
Ba H C O
4 12 12 28
Direct
0.229 0.079 0.382
0.229 0.421 0.882
0.771 0.579 0.118
0.771 0.921 0.618
0.022 0.059 0.793
0.022 0.441 0.293
0.036 0.726 0.873
0.036 0.774 0.373
0.202 0.594 0.839
0.202 0.906 0.339
0.798 0.094 0.661
0.798 0.406 0.161
0.964 0.226 0.627
0.964 0.274 0.127
0.978 0.559 0.707
0.978 0.941 0.207
0.320 0.245 0.644
0.320 0.255 0.144
0.395 0.012 0.921
0.395 0.488 0.421
0.431 0.711 0.867
0.431 0.789 0.367
0.569 0.211 0.633
0.569 0.289 0.133
0.605 0.512 0.579
0.605 0.988 0.079
0.680 0.745 0.856
0.680 0.755 0.356
0.084 0.557 0.836
0.084 0.943 0.336
0.141 0.203 0.609
0.141 0.297 0.109
0.234 0.047 0.985
0.234 0.453 0.485
0.255 0.749 0.350
0.255 0.751 0.850
0.303 0.195 0.185
0.303 0.305 0.685
0.402 0.506 0.241
0.402 0.994 0.741
0.427 0.649 0.890
0.427 0.851 0.390
0.573 0.149 0.610
0.573 0.351 0.110
0.598 0.006 0.259
0.598 0.494 0.759
0.697 0.695 0.315
0.697 0.805 0.815
0.745 0.249 0.150
0.745 0.251 0.650
0.766 0.547 0.515
0.766 0.953 0.015
0.859 0.703 0.891
0.859 0.797 0.391
0.916 0.057 0.664
0.916 0.443 0.164
```

---

(15)
# K2SnPb

Crystalline K2SnPb at its relaxed geometry (PBE-GGA, Alexandria via LeMat-Bulk).

Properties
polymorph energy (0 for the lowest one)	27	meV per atom
energy relative to the elements	-0.497	eV per formula unit

POSCAR file:
```
K2SnPb
1.0
6.780 -2.714 0.000
6.780 2.714 0.000
-5.309 0.000 8.628
K Sn Pb
4 2 2
Direct
0.000 0.000 0.000
0.000 0.000 0.498
0.382 0.382 0.671
0.621 0.621 0.327
0.298 0.298 0.943
0.702 0.702 0.051
0.314 0.314 0.256
0.687 0.687 0.739
```

---

(16)
# BaSc2Cl

Crystalline BaSc2Cl at its relaxed geometry (PBE-GGA, Alexandria via LeMat-Bulk).

Properties
polymorph energy (0 for the lowest one)	726	meV per atom

POSCAR file:
```
BaSc2Cl
1.0
5.683 0.000 0.000
0.000 5.683 0.000
0.000 0.000 3.567
Ba Sc Cl
1 2 1
Direct
0.000 0.000 0.000
0.000 0.500 0.500
0.500 0.000 0.500
0.500 0.500 0.000
```

---

| no. | D(E_F) (states/eV/atom) | total energy (eV/atom) |
| --- | --- | --- |
| 1 | 0.619 | -1.891 |
| 2 | 0.640 | -3.849 |
| 3 | 0.481 | -5.312 |
| 4 | 0.728 | -5.312 |
| 5 | 0.816 | -5.179 |
| 6 | 0.459 | -4.306 |
| 7 | 0.000 | -5.523 |
| 8 | 0.000 | -7.359 |
| 9 | 2.330 | -6.562 |
| 10 | 2.223 | -3.302 |
| 11 | 0.525 | -3.674 |
| 12 | 0.640 | -6.712 |
| 13 | 1.108 | -8.245 |
| 14 | 0.000 | -6.741 |
| 15 | 0.446 | -2.601 |
| 16 | 1.595 | -3.877 |